1.
Computed, not measured: a geometry-optimized Hg2MoRu structure at the PBE level of DFT.

Cell and atoms, written as POSCAR:
```
Hg2MoRu
1.0
-0.895 -4.286 3.637
2.734 -0.081 4.992
-3.649 2.549 -3.548
Hg Ru Mo
2 1 1
direct
0.506 0.506 0.000
0.994 0.994 0.000
0.750 0.250 0.500
0.250 0.750 0.500
```

Summary:
Energy relative to the lowest polymorph listed for this composition ... 457.0 meV per atom
Uncorrected energy ... -4.4679 eV per atom
Density of states at the Fermi level ... 4.9 states/eV per cell
Total moment ... 0.00 μB/cell
Energy of formation from the pure elements ... 710 meV/atom
Space-group type ... Immm

2.
Computed, not measured: a geometry-optimized Hg2MoRu structure at the PBE level of DFT.

Cell and atoms, written as POSCAR:
```
Hg2MoRu
1.0
-8.148 -4.457 2.159
-6.816 -6.634 0.669
-6.259 -6.257 3.547
Mo Hg Ru
1 2 1
direct
0.250 0.250 0.250
0.498 0.498 0.498
0.002 0.002 0.002
0.750 0.750 0.750
```

Summary:
Energy relative to the lowest polymorph listed for this composition ... 417.5 meV per atom
Uncorrected energy ... -4.5074 eV per atom
Density of states at the Fermi level ... 4.2 states/eV per cell
Total moment ... 0.07 μB/cell
Energy of formation from the pure elements ... 670 meV/atom
Space-group type ... R-3m